A relaxed LiLaBr2 crystal. Source: Alexandria via LeMat-Bulk, functional PBE.

Density of states at the Fermi level   0.61 states/eV per atom
E_form (uncorrected)   -0.65 eV per atom
Energy relative to the lowest polymorph listed for this composition   2.98 eV per formula unit

The structure in CIF format:
```
data_LiLaBr2
_chemical_formula_sum 'Li4 La4 Br8'
_cell_length_a 7.631
_cell_length_b 7.631
_cell_length_c 7.631
_cell_angle_alpha 90.00
_cell_angle_beta 90.00
_cell_angle_gamma 90.00
_symmetry_space_group_name_H-M 'F -4 3 m'
_symmetry_Int_Tables_number 216
_symmetry_space_group_name_Hall 'F -4 2 3'
loop_
_atom_site_label
_atom_site_fract_x
_atom_site_fract_y
_atom_site_fract_z
Li1 0.000 0.000 0.000
La1 0.250 0.250 0.750
Br1 0.000 0.000 0.500
Br2 0.250 0.250 0.250
```

A relaxed Sc2InMo crystal. Source: Alexandria via LeMat-Bulk, functional PBE.

Density of states at the Fermi level   1.07 states/eV per atom
E_form   -0.07 eV/atom

The structure in CIF format:
```
data_Sc2InMo
_chemical_formula_sum 'Sc2 In1 Mo1'
_cell_length_a 4.504
_cell_length_b 4.504
_cell_length_c 3.949
_cell_angle_alpha 90.00
_cell_angle_beta 90.00
_cell_angle_gamma 90.00
_symmetry_space_group_name_H-M 'P 4/m m m'
_symmetry_Int_Tables_number 123
_symmetry_space_group_name_Hall '-P 4 2'
loop_
_atom_site_label
_atom_site_fract_x
_atom_site_fract_y
_atom_site_fract_z
Sc1 0.000 0.500 0.000
In1 0.000 0.000 0.500
Mo1 0.500 0.500 0.500
```

A relaxed Li2AgSbH crystal. Source: Alexandria via LeMat-Bulk, functional PBE.

Density of states at the Fermi level   0.29 states/eV per atom
Energy relative to the lowest polymorph listed for this composition   0.74 eV per formula unit

The structure in CIF format:
```
data_Li2AgSbH
_chemical_formula_sum 'Li2 Ag1 Sb1 H1'
_cell_length_a 4.254
_cell_length_b 4.254
_cell_length_c 4.267
_cell_angle_alpha 90.00
_cell_angle_beta 90.00
_cell_angle_gamma 90.00
_symmetry_space_group_name_H-M 'P 4/m m m'
_symmetry_Int_Tables_number 123
_symmetry_space_group_name_Hall '-P 4 2'
loop_
_atom_site_label
_atom_site_fract_x
_atom_site_fract_y
_atom_site_fract_z
Li1 0.000 0.500 0.000
Ag1 0.000 0.000 0.500
Sb1 0.500 0.500 0.500
H1 0.500 0.500 0.000
```

A relaxed BaLa2P2 crystal. Source: Alexandria via LeMat-Bulk, functional PBE.

Density of states at the Fermi level   1.18 states/eV per atom
E_form   -0.79 eV/atom
Energy relative to the lowest polymorph listed for this composition   1.29 eV per formula unit

The structure in CIF format:
```
data_BaLa2P2
_chemical_formula_sum 'Ba2 La4 P4'
_cell_length_a 8.507
_cell_length_b 8.507
_cell_length_c 3.737
_cell_angle_alpha 90.00
_cell_angle_beta 90.00
_cell_angle_gamma 90.00
_symmetry_space_group_name_H-M 'P 4/m b m'
_symmetry_Int_Tables_number 127
_symmetry_space_group_name_Hall '-P 4 2ab'
loop_
_atom_site_label
_atom_site_fract_x
_atom_site_fract_y
_atom_site_fract_z
Ba1 0.000 0.000 0.000
La1 0.132 0.368 0.000
P1 0.168 0.668 0.500
```

A relaxed NaTb2Zn crystal. Source: Alexandria via LeMat-Bulk, functional PBE.

Density of states at the Fermi level   0.96 states/eV per atom
E_form   0.10 eV/atom
Energy relative to the lowest polymorph listed for this composition   0.50 eV per formula unit

The structure in CIF format:
```
data_NaTb2Zn
_chemical_formula_sum 'Na3 Tb6 Zn3'
_cell_length_a 3.5012
_cell_length_b 3.5012
_cell_length_c 34.6733
_cell_angle_alpha 90.00
_cell_angle_beta 90.00
_cell_angle_gamma 120.00
_symmetry_space_group_name_H-M 'R -3 m'
_symmetry_Int_Tables_number 166
_symmetry_space_group_name_Hall '-R 3 2"'
loop_
_atom_site_label
_atom_site_fract_x
_atom_site_fract_y
_atom_site_fract_z
Na1 0.0000 0.0000 0.0000
Tb1 0.0000 0.0000 0.1029
Zn1 0.0000 0.0000 0.5000
```